Computed, not measured: KO after structural relaxation at the PBE-GGA level of DFT.

The structure in POSCAR format:
```
KO
1.0
0.0000 3.0610 3.0610
3.0610 0.0000 3.0610
3.0610 3.0610 0.0000
K O
1 1
Direct
0.0000 0.0000 0.0000 K
0.2500 0.2500 0.2500 O
```

Results
The energy relative to the elements, uncorrected comes out at -0.484 eV/atom. The total energy is -0.1290 Ha/atom.